Record 1
Below is a geometry-optimized Ta4SiNi structure, with properties calculated at the GGA-PBEsol level.

Its magnetic moment is 0.0000 μB/atom. The uncorrected energy comes out at -232.6 eV per cell. Its density of states at the Fermi level is 4.68 states/eV/f.u.

The structure belongs to space group F-43m (No. 216); the cell edges are 7.464, 7.464 and 7.464 Å and the angles 90.00°, 90.00° and 90.00°. The inequivalent atoms are Ta at (0.125, 0.125, 0.125), Si at (0.000, 0.000, 0.500) and Ni at (0.250, 0.250, 0.750).

***

Record 2
Below is a geometry-optimized Ba5Al2Ge7 structure, with properties calculated at the GGA-PBEsol level.

Its magnetic moment is 0.0000 μB/atom. Its formation energy from the elements is -0.552 eV per atom. The uncorrected energy comes out at -244.9 eV per cell. Its density of states at the Fermi level is 4.56 states/eV/f.u.

The structure belongs to space group C2/m (No. 12); the cell edges are 8.575, 10.250 and 18.384 Å and the angles 90.00°, 103.47° and 90.00°. The inequivalent atoms are Ba at (0.000, 0.210, 0.000), Ba at (0.000, 0.252, 0.500), Ba at (0.154, 0.224, 0.289), Ba at (0.238, 0.500, 0.144), Al at (0.076, 0.500, 0.767), Al at (0.226, 0.500, 0.428), Ge at (0.062, 0.500, 0.631), Ge at (0.086, 0.000, 0.655), Ge at (0.136, 0.000, 0.144), Ge at (0.147, 0.311, 0.858), Ge at (0.180, 0.500, 0.954) and Ge at (0.201, 0.000, 0.433).

***

Record 3
Below is a geometry-optimized K2LaPCO7 structure, with properties calculated at the GGA-PBEsol level.

Its magnetic moment is 0.0023 μB/atom. The uncorrected energy comes out at -176.9 eV per cell. Its density of states at the Fermi level is 0.00 states/eV/f.u.

The structure belongs to space group P2_1/m (No. 11); the cell edges are 5.489, 7.348 and 10.113 Å and the angles 90.00°, 91.04° and 90.00°. The inequivalent atoms are K at (0.239, 0.018, 0.295), La at (0.298, 0.250, 0.896), P at (0.206, 0.750, 0.927), C at (0.254, 0.250, 0.610), O at (0.070, 0.250, 0.693), O at (0.074, 0.250, 0.102), O at (0.222, 0.250, 0.487), O at (0.244, 0.750, 0.081), O at (0.327, 0.577, 0.870) and O at (0.468, 0.250, 0.668).

***

Record 4
Below is a geometry-optimized InReTc structure, with properties calculated at the GGA-PBEsol level.

Its magnetic moment is 0.0001 μB/atom. For the relative energy among the computed polymorphs, the calculation gives 292 meV/atom. Its formation energy from the elements is 0.734 eV per atom. The uncorrected energy comes out at -101.5 eV per cell. Its density of states at the Fermi level is 2.69 states/eV/f.u.

The structure belongs to space group F-43m (No. 216); the cell edges are 6.073, 6.073 and 6.073 Å and the angles 90.00°, 90.00° and 90.00°. The inequivalent atoms are In at (0.000, 0.000, 0.000), Re at (0.250, 0.250, 0.750) and Tc at (0.000, 0.000, 0.500).

***

Record 5
Below is a geometry-optimized TaCu2Pb structure, with properties calculated at the GGA-PBEsol level.

Its magnetic moment is 0.0000 μB/atom. Its formation energy from the elements is 0.317 eV per atom. The uncorrected energy comes out at -23.9 eV per cell. Its density of states at the Fermi level is 1.86 states/eV/f.u.

The structure belongs to space group P4/mmm (No. 123); the cell edges are 3.057, 3.057 and 7.229 Å and the angles 90.00°, 90.00° and 90.00°. The inequivalent atoms are Ta at (0.000, 0.000, 0.000), Cu at (0.500, 0.500, 0.223) and Pb at (0.000, 0.000, 0.500).

***

Record 6
Below is a geometry-optimized MgMnCo structure, with properties calculated at the GGA-PBEsol level.

Its magnetic moment is 0.0921 μB/atom. For the relative energy among the computed polymorphs, the calculation gives 301 meV/atom. Its formation energy from the elements is 0.695 eV per atom. The uncorrected energy comes out at -68.5 eV per cell. Its density of states at the Fermi level is 2.20 states/eV/f.u.

The structure belongs to space group F-43m (No. 216); the cell edges are 5.502, 5.502 and 5.502 Å and the angles 90.00°, 90.00° and 90.00°. The inequivalent atoms are Mg at (0.000, 0.000, 0.000), Mn at (0.000, 0.000, 0.500) and Co at (0.250, 0.250, 0.250).

***

Record 7
Below is a geometry-optimized SbPb3 structure, with properties calculated at the GGA-PBEsol level.

Its magnetic moment is 0.0001 μB/atom. The uncorrected energy comes out at -16.3 eV per cell. Its density of states at the Fermi level is 1.77 states/eV/f.u.

The structure belongs to space group P-6m2 (No. 187); the cell edges are 3.4358, 3.4358 and 11.2078 Å and the angles 90.00°, 90.00° and 120.00°. The inequivalent atoms are Sb at (0.0000, 0.0000, 0.0000), Pb at (0.0000, 0.0000, 0.5000) and Pb at (0.6667, 0.3333, 0.2448).

***

Record 8
Below is a geometry-optimized MgMo2 structure, with properties calculated at the GGA-PBEsol level.

Its magnetic moment is 0.0001 μB/atom. Its formation energy from the elements is 0.834 eV per atom. The uncorrected energy comes out at -91.0 eV per cell. Its density of states at the Fermi level is 1.91 states/eV/f.u.

The structure belongs to space group I4/mcm (No. 140); the cell edges are 6.267, 6.267 and 5.043 Å and the angles 90.00°, 90.00° and 90.00°. The inequivalent atoms are Mg at (0.000, 0.000, 0.250) and Mo at (0.132, 0.368, 0.000).

***

Record 9
Below is a geometry-optimized TaTeBr2 structure, with properties calculated at the GGA-PBEsol level.

Its magnetic moment is 0.4083 μB/atom. For the relative energy among the computed polymorphs, the calculation gives 997 meV/atom. The uncorrected energy comes out at -16.7 eV per cell. Its density of states at the Fermi level is 4.40 states/eV/f.u.

The structure belongs to space group P4/mmm (No. 123); the cell edges are 4.392, 4.392 and 4.710 Å and the angles 90.00°, 90.00° and 90.00°. The inequivalent atoms are Ta at (0.000, 0.000, 0.000), Te at (0.500, 0.500, 0.000) and Br at (0.000, 0.500, 0.500).

***

Record 10
Below is a geometry-optimized Mn2BePt structure, with properties calculated at the GGA-PBEsol level.

Its magnetic moment is 1.0146 μB/atom. Its formation energy from the elements is -0.107 eV per atom. The uncorrected energy comes out at -30.9 eV per cell. Its density of states at the Fermi level is 3.63 states/eV/f.u.

The structure belongs to space group P4/mmm (No. 123); the cell edges are 3.456, 3.456 and 3.844 Å and the angles 90.00°, 90.00° and 90.00°. The inequivalent atoms are Mn at (0.000, 0.500, 0.000), Be at (0.000, 0.000, 0.500) and Pt at (0.500, 0.500, 0.500).

***

Record 11
Below is a geometry-optimized NaAsPdBr2 structure, with properties calculated at the GGA-PBEsol level.

Its magnetic moment is 0.3812 μB/atom. The uncorrected energy comes out at -12.7 eV per cell. Its density of states at the Fermi level is 4.64 states/eV/f.u.

The structure belongs to space group P4/mmm (No. 123); the cell edges are 5.067, 5.067 and 5.253 Å and the angles 90.00°, 90.00° and 90.00°. The inequivalent atoms are Na at (0.000, 0.000, 0.000), As at (0.000, 0.000, 0.500), Pd at (0.500, 0.500, 0.500) and Br at (0.000, 0.500, 0.000).

***

Record 12
Below is a geometry-optimized MgOsW structure, with properties calculated at the GGA-PBEsol level.

Its magnetic moment is 0.0000 μB/atom. For the relative energy among the computed polymorphs, the calculation gives 0 meV/atom. Its formation energy from the elements is 0.195 eV per atom. The uncorrected energy comes out at -54.3 eV per cell. Its density of states at the Fermi level is 1.13 states/eV/f.u.

The structure belongs to space group I4mm (No. 107); the cell edges are 3.068, 3.068 and 9.986 Å and the angles 90.00°, 90.00° and 90.00°. The inequivalent atoms are Mg at (0.000, 0.000, 0.000), Os at (0.000, 0.000, 0.673) and W at (0.000, 0.000, 0.313).